# La2ZnHgRu, relaxed, DFT GGA-PBE
data_La2ZnHgRu
_chemical_formula_sum 'La2 Zn1 Hg1 Ru1'
_cell_length_a 5.3748
_cell_length_b 5.3748
_cell_length_c 4.9771
_cell_angle_alpha 90.00
_cell_angle_beta 90.00
_cell_angle_gamma 90.00
_space_group_name_H-M_alt 'P 1'
_space_group_IT_number 1
_space_group_name_Hall 'P 1'
loop_
_atom_site_label
_atom_site_fract_x
_atom_site_fract_y
_atom_site_fract_z
La1 0.0000 0.5000 0.0000
La2 0.5000 0.0000 0.0000
Zn1 0.0000 0.0000 0.5000
Hg1 0.5000 0.5000 0.5000
Ru1 0.0000 0.0000 0.0000
# **Calculated formation energy**: -1.46 eV per formula unit
# **Total energy**: -4.4333 eV per atom
# **Mass density**: 7.45 g/cm3